Crystalline Mg5Ru4 at its relaxed geometry, computed with PBE.

a = 6.2573 Å, b = 6.2573 Å, c = 6.2573 Å
α = 96.59°, β = 96.59°, γ = 140.39°
Last column: nearest neighbours and their distance in Å.
Fractional coordinates of all 9 atoms:
1 Mg 0.0000 0.0000 0.0000  4 Ru 2.90, 8 Mg 2.96
2 Mg 0.3251 0.3251 0.6502  6 Ru 2.71-2.95, 6 Mg 2.76-2.96
3 Mg 0.3251 0.6749 0.0000  6 Ru 2.71-2.95, 6 Mg 2.76-2.96
4 Mg 0.6749 0.3251 0.0000  6 Ru 2.71-2.95, 6 Mg 2.76-2.96
5 Mg 0.6749 0.6749 0.3498  6 Ru 2.71-2.95, 6 Mg 2.76-2.96
6 Ru 0.0000 0.3480 0.3480  5 Ru 2.53-2.77, 2 Mg 2.71
7 Ru 0.0000 0.6520 0.6520  5 Ru 2.53-2.77, 2 Mg 2.71
8 Ru 0.3480 0.0000 0.3480  5 Ru 2.53-2.77, 2 Mg 2.71
9 Ru 0.6520 0.0000 0.6520  5 Ru 2.53-2.77, 2 Mg 2.71

Distance to the lowest polymorph of the same formula = 0.0 kJ/mol of atoms
DOS(E_F) = 8.39 states/eV per cell
ΔE_f = 76 kJ/mol of formula units
Space group = I4/mmm (139)
E = -4.92 eV/atom